1.
11
Lattice="-5.829 -1.564 0.102 5.327 -8.041 2.518 -1.013 4.139 5.607" Properties=species:S:1:pos:R:3 comment="Tb5Nd5Ho (PBE-GGA, optimized geometry)" vol_a3_per_cell=375.6 ef_mev_per_atom=255 pbc="T T T"
Nd -2.914 -0.782 0.051
Nd -1.418 -6.226 2.104
Nd -0.097 0.759 6.122
Nd -1.935 -4.112 4.969
Nd 0.420 -1.355 3.257
Tb 0.757 -2.407 6.351
Tb -2.954 -0.366 4.185
Tb -0.506 2.069 2.803
Tb -2.271 -3.060 1.875
Tb 1.439 -5.101 4.041
Ho 0.000 0.000 0.000

***

2.
12
Lattice="-4.166 -2.510 1.386 -1.279 -0.562 -4.861 7.703 -13.071 -0.516" Properties=species:S:1:pos:R:3 comment="Tb9Nd2Ho (PBE-GGA, optimized geometry)" de_polymorph_ev_per_atom=0.000 vol_a3_per_cell=388.3 ef_mev_per_atom=20 pbc="T T T"
Tb 1.768 -7.790 0.435
Tb -2.723 -1.536 -1.737
Tb 0.628 -2.431 -2.515
Tb -0.165 -5.876 -1.909
Tb 4.353 -12.176 0.262
Tb 5.797 -11.201 -2.862
Tb 3.212 -6.816 -2.689
Tb 2.422 -10.266 -2.082
Tb -0.816 -3.405 0.608
Nd 5.142 -8.725 -0.345
Nd 2.561 -4.346 -0.172
Ho 0.000 0.000 0.000

***

3.
10
Lattice="-8.292 -2.114 -2.966 4.310 -2.895 -7.421 1.787 -2.116 5.425" Properties=species:S:1:pos:R:3 comment="TbNd2Ho2 (PBE-GGA, optimized geometry)" de_polymorph_ev_per_atom=0.261 vol_a3_per_cell=349.6 ef_mev_per_atom=281 pbc="T T T"
Tb -6.155 -3.750 0.821
Tb 3.959 -3.374 -5.783
Ho -2.811 -3.958 -0.361
Ho 0.616 -3.167 -4.601
Ho 3.183 -4.329 -2.480
Ho -5.379 -2.796 -2.482
Nd -2.797 -4.412 -4.089
Nd 0.602 -2.712 -0.873
Nd -2.203 -1.536 -2.910
Nd 0.007 -5.589 -2.052

***

4.
15
Lattice="6.551 0.000 0.000 0.000 8.238 -4.756 0.000 0.000 9.512" Properties=species:S:1:pos:R:3 comment="TbNd6Ho8 (PBE-GGA, optimized geometry)" de_polymorph_ev_per_atom=0.111 vol_a3_per_cell=513.3 ef_mev_per_atom=232 pbc="T T T"
Ho 5.567 2.746 4.756
Ho 5.886 2.718 -1.373
Ho 0.984 5.492 0.000
Ho 0.665 2.548 1.667
Ho 5.886 8.068 -1.715
Ho 5.886 5.689 3.089
Ho 0.665 5.520 6.129
Ho 0.665 0.170 6.471
Nd 2.656 4.874 3.646
Nd 3.895 7.517 1.288
Nd 3.895 3.364 1.110
Nd 2.656 0.720 3.468
Nd 2.656 2.643 7.154
Nd 3.895 5.594 -2.398
Tb 3.275 0.000 0.000

***

5.
26
Lattice="3.600 0.000 0.000 0.000 11.670 0.000 0.000 0.000 20.569" Properties=species:S:1:pos:R:3 comment="Tb2Nd5Ho6 (PBE-GGA, optimized geometry)" vol_a3_per_cell=864.2 ef_mev_per_atom=93 pbc="T T T"
Ho 0.000 6.780 2.707
Ho 0.000 5.113 11.951
Ho 1.800 2.042 13.110
Ho 0.000 10.948 18.902
Ho 0.000 4.889 17.862
Ho 1.800 7.877 17.743
Ho 0.000 6.556 8.618
Ho 0.000 10.724 12.991
Ho 0.000 0.946 7.578
Ho 0.000 0.722 1.666
Ho 1.800 3.793 2.825
Ho 1.800 9.628 7.459
Tb 0.000 1.991 16.228
Tb 0.000 3.844 5.943
Tb 0.000 7.826 14.625
Tb 0.000 9.679 4.341
Nd 1.800 3.518 9.253
Nd 1.800 10.682 15.903
Nd 1.800 0.000 10.284
Nd 1.800 2.317 19.538
Nd 1.800 0.988 4.666
Nd 1.800 6.823 5.618
Nd 1.800 9.353 1.031
Nd 1.800 4.847 14.951
Nd 1.800 8.151 11.315
Nd 1.800 5.835 0.000

***

6.
11
Lattice="-2.544 -0.292 2.470 4.133 -9.756 3.105 3.578 9.286 4.783" Properties=species:S:1:pos:R:3 comment="TbNd4Ho6 (PBE-GGA, optimized geometry)" de_polymorph_ev_per_atom=0.000 vol_a3_per_cell=375.6 ef_mev_per_atom=168 pbc="T T T"
Ho 2.144 -4.818 1.639
Ho 0.745 1.429 3.499
Ho 2.405 5.737 5.718
Ho 5.841 -5.043 5.422
Ho 4.322 1.211 7.159
Ho 3.859 -0.365 3.933
Tb 0.000 0.000 0.000
Nd 0.731 -1.875 3.094
Nd 2.767 -6.682 4.624
Nd 4.529 -2.107 6.980
Nd 3.763 2.939 4.224

***

Q: Which formula does entry 1 have?
A: Tb5Nd5Ho

***

Q: What is the formula in the fifth record?
A: Tb2Nd5Ho6